Here is Y2Mg3Ge3O12 after structural relaxation from the Alexandria database. Energies are from GGA-PBE.

Magnetic moment = 0.0 Bohr magnetons per cell
N(E_F) = 0.00 states/eV/f.u.
Crystal system = tetragonal
VASP energy = -7.0685 eV per atom

Geometry as CIF:
```
data_Y2Mg3Ge3O12
_cell_length_a 12.421
_cell_length_b 12.421
_cell_length_c 12.190
_cell_angle_alpha 90.00
_cell_angle_beta 90.00
_cell_angle_gamma 90.00
_space_group_name_H-M_alt 'I 41/a c d'
_space_group_IT_number 142
loop_
_space_group_symop_operation_xyz
'x,y,z'
'-x,-y,-z'
'-y+1/4,x+3/4,z+1/4'
'y+1/4,-x+3/4,-z+1/4'
'-x+1/2,-y,z+1/2'
'x+1/2,y,-z+1/2'
'y+1/4,-x+1/4,z+3/4'
'-y+1/4,x+1/4,-z+3/4'
'x,-y,-z+1/2'
'-x,y,z+1/2'
'-y+1/4,-x+1/4,-z+1/4'
'y+1/4,x+1/4,z+1/4'
'-x+1/2,y,-z'
'x+1/2,-y,z'
'y+1/4,x+3/4,-z+3/4'
'-y+1/4,-x+3/4,z+3/4'
'x+1/2,y+1/2,z+1/2'
'-x+1/2,-y+1/2,-z+1/2'
'-y+3/4,x+1/4,z+3/4'
'y+3/4,-x+1/4,-z+3/4'
'-x,-y+1/2,z'
'x,y+1/2,-z'
'y+3/4,-x+3/4,z+1/4'
'-y+3/4,x+3/4,-z+1/4'
'x+1/2,-y+1/2,-z'
'-x+1/2,y+1/2,z'
'-y+3/4,-x+3/4,-z+3/4'
'y+3/4,x+3/4,z+3/4'
'-x,y+1/2,-z+1/2'
'x,-y+1/2,z+1/2'
'y+3/4,x+1/4,-z+1/4'
'-y+3/4,-x+1/4,z+1/4'
loop_
_atom_site_label
_atom_site_fract_x
_atom_site_fract_y
_atom_site_fract_z
_atom_site_occupancy
Y1 0.121 0.000 0.250 1
Mg1 0.000 0.000 0.000 1
Mg2 0.000 0.250 0.125 1
Ge1 0.000 0.250 0.375 1
Ge2 0.127 0.000 0.750 1
O1 0.034 0.054 0.654 1
O2 0.057 0.159 0.973 1
O3 0.156 0.030 0.443 1
```